Density functional theory data (PBE) for an optimized crystal structure of Dy3SnHg5.

**Energy**: -2.571 eV per atom
**ΔH_f (0 K)**: -0.42 eV per atom

Cell: 6.369 8.975 8.974 Å, 120.00 90.00 90.00°
Element x y z (fractional)
Dy 0.750 0.329 0.329
Dy 0.750 0.000 0.671
Dy 0.750 0.671 0.000
Dy 0.250 0.671 0.671
Dy 0.250 0.000 0.329
Dy 0.250 0.329 0.000
Sn 0.000 0.000 0.000
Sn 0.500 0.000 0.000
Hg 0.000 0.667 0.333
Hg 0.500 0.333 0.667
Hg 0.000 0.333 0.667
Hg 0.500 0.667 0.333
Hg 0.750 0.658 0.659
Hg 0.750 0.000 0.341
Hg 0.750 0.342 0.000
Hg 0.250 0.342 0.341
Hg 0.250 0.000 0.659
Hg 0.250 0.658 0.000


Density functional theory data (PBE) for an optimized crystal structure of Dy5Sn2Hg2.

**Energy**: -4.041 eV per atom
**ΔH_f (0 K)**: -0.53 eV per atom

Cell: 7.874 8.177 8.877 Å, 117.42 90.00 90.00°
Element x y z (fractional)
Dy 0.000 0.000 0.000
Dy 0.500 0.500 0.000
Dy 0.834 0.811 0.277
Dy 0.166 0.466 0.277
Dy 0.334 0.966 0.277
Dy 0.666 0.311 0.277
Dy 0.166 0.189 0.723
Dy 0.834 0.534 0.723
Dy 0.666 0.034 0.723
Dy 0.334 0.689 0.723
Sn 0.000 0.205 0.411
Sn 0.500 0.705 0.411
Sn 0.000 0.795 0.589
Sn 0.500 0.295 0.589
Hg 0.631 0.867 0.000
Hg 0.369 0.133 0.000
Hg 0.131 0.633 0.000
Hg 0.869 0.367 0.000


Density functional theory data (PBE) for an optimized crystal structure of DySnHg.

**Energy**: -3.422 eV per atom
**ΔH_f (0 K)**: -0.45 eV per atom

Cell: 4.833 6.449 6.296 Å, 61.45 67.43 67.99°
Element x y z (fractional)
Dy 0.316 0.737 0.631
Dy 0.684 0.263 0.369
Sn 0.006 0.729 0.258
Sn 0.994 0.271 0.742
Hg 0.650 0.783 0.917
Hg 0.350 0.217 0.083


Density functional theory data (PBE) for an optimized crystal structure of DySnHg.

**Energy**: -3.303 eV per atom
**ΔH_f (0 K)**: -0.33 eV per atom

Cell: 4.907 4.907 4.907 Å, 60.00 60.00 60.00°
Element x y z (fractional)
Hg 0.250 0.250 0.250
Sn 0.500 0.500 0.500
Dy 0.000 0.000 0.000


Density functional theory data (PBE) for an optimized crystal structure of Dy6SnHg5.

**Energy**: -3.275 eV per atom
**ΔH_f (0 K)**: -0.51 eV per atom

Cell: 5.283 7.403 9.158 Å, 113.84 106.77 90.00°
Last column: magnetic moment on the atom in μB.
Element x y z (fractional)
Hg 0.672 0.172 0.343  0.01
Hg 0.334 0.334 0.667  0.00
Hg 0.000 0.500 0.000  0.01
Hg 0.666 0.666 0.333  0.00
Hg 0.328 0.828 0.657  0.01
Sn 0.000 0.000 0.000  0.00
Dy 0.833 0.583 0.666  0.06
Dy 0.833 0.083 0.666  0.06
Dy 0.500 0.749 0.000  0.07
Dy 0.500 0.251 0.000  0.07
Dy 0.167 0.917 0.334  0.06
Dy 0.167 0.417 0.334  0.06


Density functional theory data (PBE) for an optimized crystal structure of Dy3SnHg2.

**Energy**: -3.595 eV per atom
**ΔH_f (0 K)**: -0.53 eV per atom

Cell: 3.709 3.709 11.366 Å, 90.00 90.00 90.00°
Element x y z (fractional)
Dy 0.000 0.000 0.000
Dy 0.000 0.000 0.672
Dy 0.000 0.000 0.328
Sn 0.500 0.500 0.500
Hg 0.500 0.500 0.842
Hg 0.500 0.500 0.158


Density functional theory data (PBE) for an optimized crystal structure of Dy3Sn3Hg.

**Energy**: -4.330 eV per atom
**ΔH_f (0 K)**: -0.60 eV per atom

Cell: 4.508 6.199 14.613 Å, 81.55 81.13 68.67°
Element x y z (fractional)
Dy 0.510 0.353 0.626
Dy 0.490 0.647 0.374
Dy 0.276 0.223 0.225
Dy 0.724 0.777 0.775
Dy 0.395 0.286 0.924
Dy 0.605 0.714 0.076
Sn 0.865 0.729 0.541
Sn 0.135 0.271 0.459
Sn 0.122 0.830 0.925
Sn 0.878 0.170 0.075
Sn 0.009 0.760 0.222
Sn 0.991 0.240 0.778
Hg 0.778 0.073 0.370
Hg 0.222 0.927 0.630


Density functional theory data (PBE) for an optimized crystal structure of Dy3Sn3Hg.

**Energy**: -4.086 eV per atom
**ΔH_f (0 K)**: -0.36 eV per atom

Cell: 6.143 9.175 9.175 Å, 120.00 90.00 90.00°
Element x y z (fractional)
Dy 0.750 0.674 0.632
Dy 0.750 0.368 0.042
Dy 0.750 0.958 0.326
Dy 0.250 0.326 0.368
Dy 0.250 0.632 0.958
Dy 0.250 0.042 0.674
Sn 0.250 0.701 0.665
Sn 0.250 0.335 0.036
Sn 0.250 0.964 0.299
Sn 0.750 0.299 0.335
Sn 0.750 0.665 0.964
Sn 0.750 0.036 0.701
Hg 0.250 0.667 0.333
Hg 0.750 0.333 0.667


Density functional theory data (PBE) for an optimized crystal structure of DySnHg.

**Energy**: -3.423 eV per atom
**ΔH_f (0 K)**: -0.45 eV per atom

Cell: 3.931 4.776 4.776 Å, 120.00 90.00 90.00°
Element x y z (fractional)
Hg 0.030 0.000 0.000
Sn 0.277 0.333 0.667
Dy 0.693 0.667 0.333


Density functional theory data (PBE) for an optimized crystal structure of Dy8SnHg2.

**Energy**: -3.966 eV per atom
**ΔH_f (0 K)**: -0.20 eV per atom

Cell: 5.475 8.435 8.435 Å, 117.54 100.13 100.13°
Element x y z (fractional)
Dy 0.891 0.909 0.680
Dy 0.891 0.680 0.909
Dy 0.300 0.603 0.603
Dy 0.500 0.774 0.226
Dy 0.500 0.226 0.774
Dy 0.700 0.397 0.397
Dy 0.109 0.320 0.091
Dy 0.109 0.091 0.320
Sn 0.500 0.000 0.000
Hg 0.000 0.306 0.694
Hg 0.000 0.694 0.306


Density functional theory data (PBE) for an optimized crystal structure of DySnHg.

**Energy**: -3.459 eV per atom
**ΔH_f (0 K)**: -0.49 eV per atom

Cell: 4.244 4.658 8.159 Å, 106.59 90.00 90.00°
Element x y z (fractional)
Dy 0.250 0.097 0.193
Dy 0.750 0.903 0.807
Sn 0.250 0.428 0.857
Sn 0.750 0.572 0.143
Hg 0.250 0.739 0.478
Hg 0.750 0.261 0.522


Density functional theory data (PBE) for an optimized crystal structure of DySn2HgTe4.

**Energy**: -3.696 eV per atom
**Formation energy (no corrections)**: -0.51 eV per atom

Cell: 4.420 7.817 7.949 Å, 70.02 90.00 90.00°
Element x y z (fractional)
Dy 0.000 0.500 0.500
Sn 0.000 0.000 0.000
Sn 0.500 0.000 0.500
Hg 0.500 0.500 0.000
Te 0.000 0.743 0.743
Te 0.000 0.257 0.257
Te 0.500 0.747 0.265
Te 0.500 0.253 0.735


Density functional theory data (PBE) for an optimized crystal structure of DyThSnHg.

**Energy**: -4.505 eV per atom
**ΔH_f (0 K)**: -0.42 eV per atom

Cell: 5.382 5.382 5.382 Å, 60.00 60.00 60.00°
Element x y z (fractional)
Sn 0.250 0.250 0.250
Hg 0.750 0.750 0.750
Th 0.500 0.500 0.500
Dy 0.000 0.000 0.000


Density functional theory data (PBE) for an optimized crystal structure of DyTmSnHg.

**Energy**: -3.882 eV per atom
**ΔH_f (0 K)**: -0.54 eV per atom

Cell: 3.779 3.779 7.237 Å, 90.00 90.00 90.00°
Element x y z (fractional)
Dy 0.500 0.500 0.605
Tm 0.500 0.500 0.111
Sn 0.000 0.000 0.861
Hg 0.000 0.000 0.351


Density functional theory data (PBE) for an optimized crystal structure of DyTmSnHg.

**Energy**: -3.881 eV per atom
**ΔH_f (0 K)**: -0.54 eV per atom

Cell: 5.254 5.254 5.254 Å, 60.00 60.00 60.00°
Element x y z (fractional)
Tm 0.500 0.500 0.500
Hg 0.750 0.750 0.750
Sn 0.250 0.250 0.250
Dy 0.000 0.000 0.000


Density functional theory data (PBE) for an optimized crystal structure of DyYSnHg.

**Energy**: -4.420 eV per atom
**ΔH_f (0 K)**: -0.58 eV per atom

Cell: 5.288 5.288 5.288 Å, 60.00 60.00 60.00°
Element x y z (fractional)
Y 0.750 0.750 0.750
Hg 0.500 0.500 0.500
Sn 0.000 0.000 0.000
Dy 0.250 0.250 0.250


Density functional theory data (PBE) for an optimized crystal structure of DyYSnHg.

**Energy**: -4.412 eV per atom
**ΔH_f (0 K)**: -0.57 eV per atom

Cell: 3.797 3.797 7.305 Å, 90.00 90.00 90.00°
Element x y z (fractional)
Dy 0.500 0.500 0.604
Y 0.500 0.500 0.110
Sn 0.000 0.000 0.856
Hg 0.000 0.000 0.358


Density functional theory data (PBE) for an optimized crystal structure of DyZnSnHg.

**Energy**: -2.756 eV per atom
**ΔH_f (0 K)**: -0.21 eV per atom

Cell: 5.098 5.098 5.098 Å, 60.00 60.00 60.00°
Element x y z (fractional)
Zn 0.000 0.000 0.000
Hg 0.500 0.500 0.500
Sn 0.750 0.750 0.750
Dy 0.250 0.250 0.250


Density functional theory data (PBE) for an optimized crystal structure of SrDy5Hg6.

**Energy**: -2.683 eV per atom
**ΔH_f (0 K)**: -0.47 eV per atom

Cell: 5.311 7.523 8.417 Å, 90.00 108.27 90.00°
Element x y z (fractional)
Sr 0.000 0.000 0.000
Hg 0.829 0.741 0.656
Hg 0.829 0.259 0.656
Hg 0.500 0.264 0.000
Hg 0.500 0.736 0.000
Hg 0.171 0.741 0.344
Hg 0.171 0.259 0.344
Dy 0.663 0.500 0.327
Dy 0.333 0.000 0.665
Dy 0.000 0.500 0.000
Dy 0.667 0.000 0.335
Dy 0.337 0.500 0.673


Density functional theory data (PBE) for an optimized crystal structure of SrDy2Hg4.

**Energy**: -2.043 eV per atom
**ΔH_f (0 K)**: -0.31 eV per atom

Cell: 5.155 5.155 10.059 Å, 75.15 75.15 60.00°
Element x y z (fractional)
Sr 0.000 0.000 0.000
Dy 0.783 0.783 0.652
Dy 0.217 0.217 0.348
Hg 0.889 0.889 0.334
Hg 0.111 0.111 0.666
Hg 0.588 0.588 0.237
Hg 0.412 0.412 0.763


Density functional theory data (PBE) for an optimized crystal structure of SrDy2Hg2.

**Energy**: -2.588 eV per atom
**ΔH_f (0 K)**: -0.29 eV per atom

Cell: 3.810 3.873 10.628 Å, 79.50 90.00 90.00°
Element x y z (fractional)
Sr 0.000 0.000 0.000
Dy 0.000 0.178 0.643
Dy 0.000 0.822 0.357
Hg 0.500 0.393 0.215
Hg 0.500 0.607 0.785


Density functional theory data (PBE) for an optimized crystal structure of SrDy3Hg6.

**Energy**: -2.158 eV per atom
**ΔH_f (0 K)**: -0.43 eV per atom

Cell: 5.236 9.306 11.336 Å, 106.67 90.00 90.00°
Element x y z (fractional)
Sr 0.250 0.938 0.612
Sr 0.750 0.062 0.388
Dy 0.250 0.514 0.385
Dy 0.750 0.486 0.615
Dy 0.250 0.357 0.809
Dy 0.750 0.643 0.191
Dy 0.250 0.771 0.995
Dy 0.750 0.229 0.005
Hg 0.250 0.458 0.092
Hg 0.750 0.542 0.908
Hg 0.250 0.148 0.206
Hg 0.750 0.852 0.794
Hg 0.250 0.641 0.709
Hg 0.750 0.359 0.291
Hg 0.250 0.271 0.526
Hg 0.750 0.729 0.474
Hg 0.250 0.814 0.296
Hg 0.750 0.186 0.704
Hg 0.250 0.065 0.909
Hg 0.750 0.935 0.091


Density functional theory data (PBE) for an optimized crystal structure of SrDyHg2.

**Energy**: -2.070 eV per atom
**ΔH_f (0 K)**: -0.35 eV per atom

Cell: 4.028 4.028 9.321 Å, 77.52 77.52 60.00°
Element x y z (fractional)
Sr 0.500 0.500 0.499
Dy 0.666 0.666 0.001
Hg 0.076 0.076 0.771
Hg 0.257 0.257 0.228


Density functional theory data (PBE) for an optimized crystal structure of SrDyHg2.

**Energy**: -2.225 eV per atom
**ΔH_f (0 K)**: -0.50 eV per atom

Cell: 3.848 3.848 7.727 Å, 90.00 90.00 90.00°
Element x y z (fractional)
Sr 0.500 0.500 0.500
Hg 0.000 0.000 0.781
Hg 0.000 0.000 0.219
Dy 0.500 0.500 0.000